A plane-wave DFT calculation with GGA-PBE was carried out for a geometry-optimized PrTm4Ge4 structure.

Properties
Spin magnetization in μB per atom: 0.000
Total DFT energy (no corrections) in eV/atom: -5.14
Fermi-level density of states in states/eV/atom: 0.84
Theoretical density in Mg/m³: 7.487
Energy of formation from the pure elements in eV per atom: -0.5738

CIF file:
```
data_PrTm4Ge4
_chemical_formula_sum 'Pr2 Tm8 Ge8'
_space_group_name_H-M_alt 'P 42/n'
_space_group_IT_number 86
_cell_length_a 9.275
_cell_length_b 9.275
_cell_length_c 5.709
_cell_angle_alpha 90.00
_cell_angle_beta 90.00
_cell_angle_gamma 90.00
loop_
_space_group_symop_operation_xyz
'x,y,z'
'-x,-y,-z'
'-y,x+1/2,z+1/2'
'y,-x+1/2,-z+1/2'
'-x+1/2,-y+1/2,z'
'x+1/2,y+1/2,-z'
'y+1/2,-x,z+1/2'
'-y+1/2,x,-z+1/2'
loop_
_atom_site_label
_atom_site_type_symbol
_atom_site_fract_x
_atom_site_fract_y
_atom_site_fract_z
Pr1 Pr 0.250 0.250 0.250
Tm1 Tm 0.099 0.641 0.137
Ge1 Ge 0.047 0.600 0.646
```